No. 1
# Zn2CdIn, optimized geometry, DFT GGA-PBE
data_Zn2CdIn
_chemical_formula_sum 'Zn4 Cd2 In2'
_cell_length_a 7.761
_cell_length_b 7.761
_cell_length_c 6.241
_cell_angle_alpha 51.55
_cell_angle_beta 51.55
_cell_angle_gamma 90.00
_symmetry_space_group_name_H-M 'P 1'
_symmetry_Int_Tables_number 1
_symmetry_space_group_name_Hall 'P 1'
loop_
_atom_site_label
_atom_site_type_symbol
_atom_site_fract_x
_atom_site_fract_y
_atom_site_fract_z
_atom_site_occupancy
Zn1 Zn 0.875 0.870 0.750 1
Zn2 Zn 0.130 0.625 0.250 1
Cd1 Cd 0.250 0.750 0.500 1
In1 In 0.000 0.000 0.000 1
Cd2 Cd 0.500 0.500 0.000 1
Zn3 Zn 0.375 0.380 0.750 1
Zn4 Zn 0.620 0.125 0.250 1
In2 In 0.750 0.250 0.500 1
# - formation energy (meV/atom) = 188.1
# - M_tot (Bohr magnetons per cell) = 0.00
# - electronic total energy (eV per formula unit) = -5.4
# - DOS(E_F) (states/eV/cell) = 2.74
# - SG = I-42d

---

No. 2
# ZnCdIn, optimized geometry, DFT GGA-PBE
data_ZnCdIn
_chemical_formula_sum 'Zn1 Cd1 In1'
_cell_length_a 7.558
_cell_length_b 7.258
_cell_length_c 3.264
_cell_angle_alpha 82.47
_cell_angle_beta 72.18
_cell_angle_gamma 25.35
_symmetry_space_group_name_H-M 'P 1'
_symmetry_Int_Tables_number 1
_symmetry_space_group_name_Hall 'P 1'
loop_
_atom_site_label
_atom_site_type_symbol
_atom_site_fract_x
_atom_site_fract_y
_atom_site_fract_z
_atom_site_occupancy
Cd1 Cd 0.010 0.010 0.990 1
Zn1 Zn 0.665 0.665 0.335 1
In1 In 0.325 0.325 0.675 1
# - formation energy (meV/atom) = 133.9
# - M_tot (Bohr magnetons per cell) = 0.00
# - electronic total energy (eV per formula unit) = -4.5
# - DOS(E_F) (states/eV/cell) = 1.31
# - SG = Fmm2